Below is a relaxed CsHoCuCl5 crystal, with properties calculated at the PBE-GGA level.

```
CsHoCuCl5
1.0
7.5579 0.0659 -0.0466
-2.1432 7.2479 -0.0466
-2.3055 -3.1142 9.3006
Cu Cl Cs Ho
2 10 2 2
Direct
0.6930 0.3070 0.2500 Cu
0.3070 0.6930 0.7500 Cu
0.7787 0.6284 0.4142 Cl
0.9357 0.0643 0.7500 Cl
0.8912 0.2938 0.1034 Cl
0.3716 0.2213 0.0858 Cl
0.7062 0.1088 0.3966 Cl
0.1088 0.7062 0.8966 Cl
0.0643 0.9357 0.2500 Cl
0.2938 0.8912 0.6034 Cl
0.2213 0.3716 0.5858 Cl
0.6284 0.7787 0.9142 Cl
0.3446 0.6554 0.2500 Cs
0.6554 0.3446 0.7500 Cs
0.0000 0.0000 0.5000 Ho
0.0000 0.0000 0.0000 Ho
```

Summary:
Uncorrected energy, eV per atom: -4.10
ΔE_f (raw), kJ/mol of formula units: -1353
Size of the total moment, Bohr magnetons per cell: 0.3

***

Below is a relaxed SrLa2Sn2 crystal, with properties calculated at the PBE-GGA level.

```
SrLa2Sn2
1.0
9.6231 0.0000 0.0000
0.0000 9.6231 0.0000
0.0000 0.0000 3.7500
Sn La Sr
4 4 2
Direct
0.6754 0.8246 0.5000 Sn
0.3246 0.1754 0.5000 Sn
0.1754 0.6754 0.5000 Sn
0.8246 0.3246 0.5000 Sn
0.3773 0.8773 0.0000 La
0.1227 0.3773 0.0000 La
0.6227 0.1227 0.0000 La
0.8773 0.6227 0.0000 La
0.0000 0.0000 0.0000 Sr
0.5000 0.5000 0.0000 Sr
```

Summary:
Uncorrected energy, eV per atom: -4.49
Excess energy over the best structure of this formula in the dataset, meV per atom: 78
Energy relative to the elements, eV/atom: -0.58
Size of the total moment, Bohr magnetons per cell: 0.0

***

Below is a relaxed AlV2N4 crystal, with properties calculated at the PBE-GGA level.

```
AlV2N4
1.0
3.7922 0.0000 0.0000
0.0000 3.7922 0.0000
1.8961 1.8961 4.9574
Al N V
1 4 2
Direct
0.0000 0.0000 0.0000 Al
0.7963 0.7963 0.4075 N
0.2037 0.2037 0.5925 N
0.5000 0.0000 0.0000 N
0.0000 0.5000 0.0000 N
0.6289 0.6289 0.7421 V
0.3711 0.3711 0.2579 V
```

Summary:
Uncorrected energy, eV per atom: -8.02
ΔE_f (raw), kJ/mol of formula units: -86
Size of the total moment, Bohr magnetons per cell: 1.0

***

Below is a relaxed Ce2Ho8In crystal, with properties calculated at the PBE-GGA level.

```
Ce2Ho8In
1.0
-4.3800 1.9363 -1.0070
-2.2673 -6.7464 -3.1109
-0.0463 -1.5478 9.1160
Ho Ce In
8 2 1
Direct
0.3189 0.0941 0.6377 Ho
0.4081 0.5531 0.8163 Ho
0.8633 0.8211 0.7266 Ho
0.6811 0.9059 0.3623 Ho
0.1367 0.1789 0.2734 Ho
0.0445 0.7282 0.0889 Ho
0.9555 0.2718 0.9111 Ho
0.5919 0.4469 0.1837 Ho
0.7767 0.3760 0.5533 Ce
0.2233 0.6240 0.4467 Ce
0.5000 0.0000 0.0000 In
```

Summary:
Uncorrected energy, eV per atom: -4.69
Energy relative to the elements, eV/atom: -0.04
Size of the total moment, Bohr magnetons per cell: 1.4

***

Below is a relaxed Pm2NpGeN5 crystal, with properties calculated at the PBE-GGA level.

```
Pm2NpGeN5
1.0
3.4182 0.0000 0.0000
-1.7091 7.1099 0.0000
0.0000 0.0000 10.4318
Ge N Pm Np
2 10 4 2
Direct
0.4563 0.9125 0.4406 Ge
0.5437 0.0875 0.9406 Ge
0.4914 0.9828 0.7808 N
0.7135 0.4270 0.1591 N
0.0428 0.0856 0.0344 N
0.6793 0.3587 0.8818 N
0.3207 0.6413 0.3818 N
0.9572 0.9144 0.5344 N
0.5086 0.0172 0.2808 N
0.2865 0.5730 0.6591 N
0.3520 0.7040 0.0059 N
0.6480 0.2960 0.5059 N
0.8681 0.7362 0.8174 Pm
0.1076 0.2153 0.6815 Pm
0.8924 0.7847 0.1815 Pm
0.1319 0.2638 0.3174 Pm
0.7941 0.5881 0.5226 Np
0.2059 0.4119 0.0226 Np
```

Summary:
Uncorrected energy, eV per atom: -8.56
ΔE_f (raw), kJ/mol of formula units: -802
Size of the total moment, Bohr magnetons per cell: 3.8

***

Below is a relaxed Ba4Al3Si crystal, with properties calculated at the PBE-GGA level.

```
Ba4Al3Si
1.0
-0.6773 -2.8205 4.1593
3.0182 -2.9492 -1.5084
9.3570 6.5313 5.9526
Al Si Ba
3 1 4
Direct
0.0000 0.5000 0.5493 Al
0.0000 0.0000 0.4428 Al
0.5000 0.0000 0.9517 Al
0.5000 0.5000 0.0608 Si
0.0000 0.5000 0.8643 Ba
0.0000 0.0000 0.1400 Ba
0.5000 0.5000 0.3474 Ba
0.5000 0.0000 0.6439 Ba
```

Summary:
Uncorrected energy, eV per atom: -3.24
ΔE_f (raw), kJ/mol of formula units: -156
Size of the total moment, Bohr magnetons per cell: 0.0

***

Below is a relaxed NaNpSn4 crystal, with properties calculated at the PBE-GGA level.

```
NaNpSn4
1.0
-2.5537 4.1975 3.7439
-2.1896 -1.7083 5.5177
2.9300 1.7292 5.1558
Sn Np Na
4 1 1
Direct
0.6247 0.1259 0.6247 Sn
0.6247 0.6247 0.1259 Sn
0.6247 0.6247 0.6247 Sn
0.1259 0.6247 0.6247 Sn
0.2500 0.2500 0.2500 Np
0.0000 0.0000 0.0000 Na
```

Summary:
Uncorrected energy, eV per atom: -4.97
Energy relative to the elements, eV/atom: 0.07
Size of the total moment, Bohr magnetons per cell: 3.9

***

Below is a relaxed BeTc2Se crystal, with properties calculated at the PBE-GGA level.

```
BeTc2Se
1.0
6.8310 0.0041 0.0024
6.1222 3.0301 0.0024
6.1222 1.4341 2.6693
Se Tc Be
1 2 1
Direct
0.7500 0.7500 0.7500 Se
0.5166 0.5166 0.5166 Tc
0.9834 0.9834 0.9834 Tc
0.2500 0.2500 0.2500 Be
```

Summary:
Uncorrected energy, eV per atom: -6.74
Excess energy over the best structure of this formula in the dataset, meV per atom: 277
ΔE_f (raw), kJ/mol of formula units: 94
Size of the total moment, Bohr magnetons per cell: 0.0

***

Among the records above, which one has the highest size of the total moment?
NaNpSn4

***

What is the formula in the fourth record?
Ce2Ho8In

***

Which value of uncorrected energy does entry 1 give?
-4.10 eV per atom